This record from Alexandria describes an optimized crystal structure of KLi3Ta. The functional is PBE.

a b c (Å): 4.7190 4.7190 4.7190
angles (deg): 90.00 90.00 90.00
Closest atoms and distances in Å follow each position.
Space group Pm-3m (No. 221)
One atom of each set of equivalent atoms:
K  0.0000  0.0000  0.0000 [1 per cell]  6 Li 2.36
Li  0.0000  0.0000  0.5000 [3 per cell]  2 K 2.36
Ta  0.5000  0.5000  0.5000 [1 per cell]  12 Li 3.34

Computed properties:
relative energy among the computed polymorphs = 288.7 meV/atom
DOS at the Fermi energy = 0.52 states/eV/atom
calculated volume = 105 Å³/cell